Entry 1:
Density functional theory data (PBE) for an optimized crystal structure of VIrS3.

Results
energy relative to the elements, uncorrected	0.68	eV/atom
crystal system	cubic
energy above the most stable polymorph in this dataset	69	meV/atom

Cell: 4.456 4.456 4.456 Å, 90.00 90.00 90.00°
Fractional positions:
S 0.000 0.500 0.000
S 0.000 0.000 0.500
S 0.500 0.000 0.000
Ir 0.500 0.500 0.500
V 0.000 0.000 0.000

=====

Entry 2:
Density functional theory data (PBE) for an optimized crystal structure of La2CuP4Ir3.

Results
crystal system	tetragonal
formation energy from the elements	-957	meV per atom

Cell: 4.265 4.265 9.501 Å, 90.00 90.00 90.00°
Fractional positions:
La 0.500 0.000 0.245
La 0.000 0.500 0.755
Cu 0.500 0.500 0.500
P 0.500 0.500 0.000
P 0.000 0.000 0.000
P 0.500 0.000 0.634
P 0.000 0.500 0.366
Ir 0.000 0.000 0.500
Ir 0.500 0.000 0.889
Ir 0.000 0.500 0.111

=====

Entry 3:
Density functional theory data (PBE) for an optimized crystal structure of FeCu2Pd2.

Results
crystal system	tetragonal
energy above the most stable polymorph in this dataset	199	meV/atom
formation energy from the elements	140	meV per atom

Cell: 6.991 6.991 2.911 Å, 90.00 90.00 90.00°
Site moments in Bohr magnetons follow the coordinates.
Fractional positions:
Cu 0.375 0.875 0.000  0.05
Cu 0.875 0.625 0.000  0.05
Cu 0.625 0.125 0.000  0.05
Cu 0.125 0.375 0.000  0.05
Pd 0.173 0.673 0.500  0.12
Pd 0.673 0.827 0.500  0.12
Pd 0.827 0.327 0.500  0.12
Pd 0.327 0.173 0.500  0.12
Fe 0.000 0.000 0.000  3.18
Fe 0.500 0.500 0.000  3.18

=====

Entry 4:
Density functional theory data (PBE) for an optimized crystal structure of Ge3BPb.

Results
crystal system	cubic
energy above the most stable polymorph in this dataset	0	meV/atom
formation energy from the elements	595	meV per atom

Cell: 4.587 4.587 4.587 Å, 90.00 90.00 90.00°
Fractional positions:
Pb 0.500 0.500 0.500
Ge 0.000 0.500 0.000
Ge 0.000 0.000 0.500
Ge 0.500 0.000 0.000
B 0.000 0.000 0.000

=====

Entry 5:
Density functional theory data (PBE) for an optimized crystal structure of Li2MnTc.

Results
crystal system	trigonal
energy above the most stable polymorph in this dataset	0	meV/atom
formation energy from the elements	202	meV per atom

Cell: 9.345 9.345 9.345 Å, 16.45 16.45 16.45°
Fractional positions:
Li 0.005 0.005 0.005
Li 0.242 0.242 0.242
Mn 0.494 0.494 0.494
Tc 0.758 0.758 0.758

=====

Entry 6:
Density functional theory data (PBE) for an optimized crystal structure of SrBe2Sb.

Results
energy relative to the elements, uncorrected	0.11	eV/atom
crystal system	tetragonal

Cell: 4.669 4.669 9.380 Å, 75.59 75.59 90.00°
Fractional positions:
Sb 0.000 0.000 0.000
Sb 0.750 0.250 0.500
Be 0.875 0.125 0.250
Be 0.875 0.625 0.250
Be 0.375 0.125 0.750
Be 0.875 0.125 0.750
Sr 0.500 0.500 0.000
Sr 0.250 0.750 0.500

=====

Entry 7:
Density functional theory data (PBE) for an optimized crystal structure of TaTe2Os.

Results
energy relative to the elements, uncorrected	0.81	eV/atom
crystal system	orthorhombic
energy above the most stable polymorph in this dataset	783	meV/atom

Cell: 4.558 4.362 4.369 Å, 81.10 90.00 90.00°
Fractional positions:
Os 0.500 0.250 0.250
Ta 0.500 0.750 0.750
Te 0.000 0.011 0.011
Te 0.000 0.489 0.489

=====

Entry 8:
Density functional theory data (PBE) for an optimized crystal structure of Y4TlHg.

Results
crystal system	tetragonal
energy above the most stable polymorph in this dataset	0	meV/atom
formation energy from the elements	-116	meV per atom

Cell: 5.140 5.140 7.320 Å, 89.99 89.99 90.00°
Fractional positions:
Y 0.501 0.997 0.256
Y 0.501 0.998 0.740
Y 0.001 0.497 0.740
Y 0.001 0.497 0.256
Tl 0.501 0.497 0.998
Hg 0.001 0.997 0.498

=====

Entry 9:
Density functional theory data (PBE) for an optimized crystal structure of Co2TeSe.

Results
energy relative to the elements, uncorrected	0.02	eV/atom
crystal system	monoclinic
energy above the most stable polymorph in this dataset	74	meV/atom

Cell: 4.018 4.018 6.776 Å, 72.00 72.00 49.37°
Site moments in Bohr magnetons follow the coordinates.
Fractional positions:
Co 0.995 0.995 0.941  0.05
Co 0.767 0.767 0.771  0.76
Se 0.507 0.507 0.651  0.01
Te 0.230 0.230 0.136  0.01

=====

Entry 10:
Density functional theory data (PBE) for an optimized crystal structure of RbAgBr3.

Results
energy relative to the elements, uncorrected	-0.79	eV/atom
crystal system	monoclinic

Cell: 15.455 9.458 9.458 Å, 106.41 132.06 47.94°
Fractional positions:
Br 0.379 0.447 0.444
Br 0.121 0.944 0.947
Br 0.621 0.553 0.556
Br 0.879 0.056 0.053
Br 0.042 0.333 0.004
Br 0.458 0.504 0.833
Br 0.958 0.667 0.996
Br 0.542 0.496 0.167
Br 0.449 0.092 0.768
Br 0.051 0.268 0.592
Br 0.551 0.908 0.232
Br 0.949 0.732 0.408
Rb 0.750 0.084 0.584
Rb 0.250 0.916 0.416
Rb 0.750 0.564 0.064
Rb 0.250 0.436 0.936
Ag 0.220 0.465 0.493
Ag 0.280 0.993 0.965
Ag 0.780 0.535 0.507
Ag 0.720 0.007 0.035

=====

Entry 11:
Density functional theory data (PBE) for an optimized crystal structure of BaHfSc3.

Results
crystal system	cubic
energy above the most stable polymorph in this dataset	786	meV/atom
formation energy from the elements	1346	meV per atom

Cell: 5.219 5.219 5.219 Å, 90.00 90.00 90.00°
Fractional positions:
Sc 0.000 0.500 0.000
Sc 0.000 0.000 0.500
Sc 0.500 0.000 0.000
Hf 0.500 0.500 0.500
Ba 0.000 0.000 0.000

=====

Entry 12:
Density functional theory data (PBE) for an optimized crystal structure of LiBiIO6.

Results
energy relative to the elements, uncorrected	-0.78	eV/atom
crystal system	tetragonal

Cell: 4.923 4.923 9.674 Å, 90.00 90.00 90.00°
Fractional positions:
Li 0.500 0.500 0.165
Li 0.000 0.000 0.665
Bi 0.500 0.500 0.495
Bi 0.000 0.000 0.995
I 0.500 0.500 0.833
I 0.000 0.000 0.333
O 0.177 0.823 0.486
O 0.823 0.177 0.486
O 0.323 0.323 0.986
O 0.677 0.677 0.986
O 0.189 0.811 0.190
O 0.811 0.189 0.190
O 0.311 0.311 0.690
O 0.689 0.689 0.690
O 0.775 0.225 0.828
O 0.225 0.775 0.828
O 0.725 0.725 0.328
O 0.275 0.275 0.328